## SrLa2TeC (GGA-PBEsol)

Data for SrLa2TeC after structural relaxation.

Properties
Formation energy without anion corrections in eV per atom: 0.926
Crystal system: tetragonal
Calculated total energy in eV per formula unit: -21.075
DOS(E_F) in states/eV per cell: 2.23

Cell: 4.2591 5.8175 5.8175 Å, 90.00 90.00 90.00°
Element x y z (fractional)
Sr: 0.0000 0.0000 0.0000
C: 0.5000 0.0000 0.0000
Te: 0.5000 0.5000 0.5000
La: 0.0000 0.0000 0.5000
La: 0.0000 0.5000 0.0000

## LaTbC4 (GGA-PBEsol)

Data for LaTbC4 after structural relaxation.

Properties
Energy of formation from the pure elements in eV per atom: -0.1569
Crystal system: monoclinic
Calculated total energy in eV per formula unit: -49.873
DOS(E_F) in states/eV per cell: 1.79

Cell: 3.7399 4.2004 6.6612 Å, 80.60 73.70 63.56°
Element x y z (fractional)
C: 0.1902 0.4000 0.2197
C: 0.7038 0.9102 0.6821
C: 0.8098 0.6000 0.7803
C: 0.2962 0.0898 0.3179
Tb: 0.5000 0.5000 0.5000
La: 0.0000 0.0000 0.0000

| no. | total moment (μB per formula unit) |
| --- | --- |
| 1 | 0.001 |
| 2 | 0.000 |